Computed, not measured: a relaxed structure of NbSi3S at the PBE-GGA level of DFT.

CIF file:
```
data_NbSi3S
_chemical_formula_sum 'Nb1 Si3 S1'
_space_group_name_H-M_alt 'P m -3 m'
_space_group_IT_number 221
_space_group_name_Hall '-P 4 2 3'
_cell_length_a 4.4306
_cell_length_b 4.4306
_cell_length_c 4.4306
_cell_angle_alpha 90.00
_cell_angle_beta 90.00
_cell_angle_gamma 90.00
loop_
_atom_site_label
_atom_site_type_symbol
_atom_site_fract_x
_atom_site_fract_y
_atom_site_fract_z
Nb1 Nb 0.0000 0.0000 0.0000
Si1 Si 0.0000 0.5000 0.5000
S1 S 0.5000 0.5000 0.5000
```

Summary:
raw formation energy	0.87	eV per atom